Here is a PBEsol-optimized structure of BeRe2P from the Alexandria database. Energies are from SCAN.

a b c (Å): 2.814 2.814 7.586
angles (deg): 79.31 79.31 60.00
Sites, in units of the cell vectors:
1 P 0.000 0.000 0.000
2 Re 0.748 0.748 0.755
3 Be 0.500 0.500 0.500
4 Re 0.252 0.252 0.245

Results
E_tot: -39.078 eV/atom
Relative energy among the computed polymorphs: 451 meV per atom
Formation energy: 0.6 eV per formula unit
Crystal system: trigonal



Here is a PBEsol-optimized structure of KW from the Alexandria database. Energies are from SCAN.

a b c (Å): 4.875 4.875 4.875
angles (deg): 60.00 60.00 60.00
Sites, in units of the cell vectors:
1 K 0.750 0.750 0.750
2 W 0.000 0.000 0.000
3 W 0.250 0.250 0.250
4 K 0.500 0.500 0.500

Results
E_tot: -36.796 eV/atom
Relative energy among the computed polymorphs: 1193 meV per atom
Formation energy: 4.4 eV per formula unit
Crystal system: cubic



Here is a PBEsol-optimized structure of ZrAu2Se from the Alexandria database. Energies are from SCAN.

a b c (Å): 3.447 3.447 6.287
angles (deg): 90.00 90.00 90.00
Sites, in units of the cell vectors:
1 Zr 0.500 0.500 0.732
2 Au 0.500 0.500 0.221
3 Au 0.000 0.000 0.009
4 Se 0.000 0.000 0.538

Results
E_tot: -47.872 eV/atom
E_form (uncorrected): -599.2 meV/atom
Crystal system: tetragonal



Here is a PBEsol-optimized structure of TaBP3 from the Alexandria database. Energies are from SCAN.

a b c (Å): 4.058 4.058 4.058
angles (deg): 90.00 90.00 90.00
Sites, in units of the cell vectors:
1 P 0.000 0.500 0.000
2 P 0.000 0.000 0.500
3 B 0.000 0.000 0.000
4 P 0.500 0.000 0.000
5 Ta 0.500 0.500 0.500

Results
E_tot: -20.164 eV/atom
Formation energy: 4.4 eV per formula unit
Crystal system: cubic